A relaxed LiPmRh crystal. Source: Alexandria via LeMat-Bulk, functional PBE.

a = 7.165 Å, b = 7.165 Å, c = 4.065 Å
α = 90.00°, β = 90.00°, γ = 120.00°
Atoms (fractional coordinates):
Li: 0.000 0.233 0.000
Li: 0.233 0.000 0.000
Li: 0.767 0.767 0.000
Pm: 0.000 0.591 0.500
Pm: 0.409 0.409 0.500
Pm: 0.591 0.000 0.500
Rh: 0.000 0.000 0.500
Rh: 0.333 0.667 0.000
Rh: 0.667 0.333 0.000

ΔE_f   -0.4620 eV per atom
Total moment   0.000 μB per formula unit
Polymorph energy (0 for the lowest one)   38 meV/atom
SG   No. 189
Uncorrected energy   -46.2 eV for the cell shown



A relaxed Cu2SiOs crystal. Source: Alexandria via LeMat-Bulk, functional PBE.

a = 2.692 Å, b = 2.692 Å, c = 24.874 Å
α = 90.00°, β = 90.00°, γ = 120.00°
Atoms (fractional coordinates):
Cu: 0.000 0.000 0.245
Cu: 0.000 0.000 0.755
Cu: 0.333 0.667 0.421
Cu: 0.333 0.667 0.912
Cu: 0.667 0.333 0.088
Cu: 0.667 0.333 0.579
Si: 0.000 0.000 0.500
Si: 0.333 0.667 0.167
Si: 0.667 0.333 0.833
Os: 0.000 0.000 0.000
Os: 0.333 0.667 0.667
Os: 0.667 0.333 0.333

Total moment   0.288 μB per formula unit
SG   No. 166
Uncorrected energy   -72.3 eV for the cell shown



A relaxed Ac3Mg2Al7 crystal. Source: Alexandria via LeMat-Bulk, functional PBE.

a = 9.931 Å, b = 9.931 Å, c = 9.931 Å
α = 34.74°, β = 34.74°, γ = 34.74°
Atoms (fractional coordinates):
Ac: 0.000 0.000 0.000
Ac: 0.141 0.141 0.141
Ac: 0.859 0.859 0.859
Mg: 0.335 0.335 0.335
Mg: 0.665 0.665 0.665
Al: 0.080 0.586 0.586
Al: 0.414 0.414 0.920
Al: 0.414 0.920 0.414
Al: 0.500 0.500 0.500
Al: 0.586 0.080 0.586
Al: 0.586 0.586 0.080
Al: 0.920 0.414 0.414

ΔE_f   -0.2965 eV per atom
Total moment   0.000 μB per formula unit
SG   No. 166
Uncorrected energy   -45.3 eV for the cell shown



A relaxed RbTlS2 crystal. Source: Alexandria via LeMat-Bulk, functional PBE.

a = 4.105 Å, b = 4.105 Å, c = 26.997 Å
α = 90.00°, β = 90.00°, γ = 120.00°
Atoms (fractional coordinates):
Rb: 0.000 0.000 0.000
Rb: 0.333 0.667 0.667
Rb: 0.667 0.333 0.333
Tl: 0.000 0.000 0.500
Tl: 0.333 0.667 0.167
Tl: 0.667 0.333 0.833
S: 0.000 0.000 0.113
S: 0.000 0.000 0.887
S: 0.333 0.667 0.554
S: 0.333 0.667 0.780
S: 0.667 0.333 0.220
S: 0.667 0.333 0.446

Total moment   0.000 μB per formula unit
Polymorph energy (0 for the lowest one)   390 meV/atom
SG   No. 166
Uncorrected energy   -37.7 eV for the cell shown



A relaxed Pm2Y5Sc2 crystal. Source: Alexandria via LeMat-Bulk, functional PBE.

a = 11.813 Å, b = 11.813 Å, c = 11.813 Å
α = 57.06°, β = 130.79°, γ = 152.93°
Atoms (fractional coordinates):
Pm: 0.000 0.000 0.000
Pm: 0.000 0.500 0.500
Pm: 0.162 0.249 0.413
Pm: 0.836 0.749 0.587
Y: 0.130 0.660 0.791
Y: 0.130 0.839 0.970
Y: 0.363 0.110 0.474
Y: 0.363 0.389 0.753
Y: 0.442 0.749 0.193
Y: 0.556 0.249 0.807
Y: 0.637 0.610 0.247
Y: 0.637 0.889 0.526
Y: 0.869 0.160 0.030
Y: 0.869 0.339 0.209
Sc: 0.338 0.546 0.884
Sc: 0.338 0.954 0.292
Sc: 0.662 0.046 0.708
Sc: 0.662 0.454 0.116

ΔE_f   0.1166 eV per atom
Total moment   0.000 μB per formula unit
Polymorph energy (0 for the lowest one)   70 meV/atom
SG   No. 46
Uncorrected energy   -106.9 eV for the cell shown



A relaxed LaTm8Tl6 crystal. Source: Alexandria via LeMat-Bulk, functional PBE.

a = 8.316 Å, b = 8.316 Å, c = 8.316 Å
α = 66.10°, β = 66.10°, γ = 66.10°
Atoms (fractional coordinates):
La: 0.000 0.000 0.000
Tm: 0.112 0.439 0.779
Tm: 0.221 0.888 0.561
Tm: 0.332 0.332 0.332
Tm: 0.439 0.779 0.112
Tm: 0.561 0.221 0.888
Tm: 0.668 0.668 0.668
Tm: 0.779 0.112 0.439
Tm: 0.888 0.561 0.221
Tl: 0.066 0.722 0.409
Tl: 0.278 0.591 0.934
Tl: 0.409 0.066 0.722
Tl: 0.591 0.934 0.278
Tl: 0.722 0.409 0.066
Tl: 0.934 0.278 0.591

ΔE_f   -0.1080 eV per atom
Total moment   0.000 μB per formula unit
SG   No. 148
Uncorrected energy   -56.5 eV for the cell shown



A relaxed Y2CuSi4Ni3 crystal. Source: Alexandria via LeMat-Bulk, functional PBE.

a = 3.973 Å, b = 3.973 Å, c = 9.589 Å
α = 90.00°, β = 90.00°, γ = 90.00°
Atoms (fractional coordinates):
Y: 0.000 0.500 0.248
Y: 0.500 0.000 0.752
Cu: 0.000 0.000 0.500
Si: 0.000 0.000 0.000
Si: 0.000 0.500 0.636
Si: 0.500 0.000 0.364
Si: 0.500 0.500 0.000
Ni: 0.000 0.500 0.877
Ni: 0.500 0.000 0.123
Ni: 0.500 0.500 0.500

Total moment   0.000 μB per formula unit
SG   No. 115
Uncorrected energy   -63.9 eV for the cell shown



A relaxed K3Pu2HgO9 crystal. Source: Alexandria via LeMat-Bulk, functional PBE.

a = 6.072 Å, b = 6.072 Å, c = 7.532 Å
α = 90.00°, β = 90.00°, γ = 120.00°
Atoms (fractional coordinates):
K: 0.000 0.000 0.000
K: 0.333 0.667 0.653
K: 0.667 0.333 0.347
Pu: 0.333 0.667 0.161
Pu: 0.667 0.333 0.839
Hg: 0.000 0.000 0.500
O: 0.000 0.500 0.000
O: 0.179 0.358 0.311
O: 0.179 0.821 0.311
O: 0.358 0.179 0.689
O: 0.500 0.000 0.000
O: 0.500 0.500 0.000
O: 0.642 0.821 0.311
O: 0.821 0.179 0.689
O: 0.821 0.642 0.689

Total moment   3.000 μB per formula unit
SG   No. 164
Uncorrected energy   -106.8 eV for the cell shown



A relaxed Ag2PdPt2O6 crystal. Source: Alexandria via LeMat-Bulk, functional PBE.

a = 5.691 Å, b = 5.691 Å, c = 6.388 Å
α = 95.96°, β = 95.96°, γ = 123.25°
Atoms (fractional coordinates):
Ag: 0.188 0.812 0.000
Ag: 0.812 0.188 0.000
Pd: 0.000 0.000 0.500
Pt: 0.338 0.662 0.500
Pt: 0.662 0.338 0.500
O: 0.058 0.698 0.661
O: 0.302 0.942 0.339
O: 0.371 0.371 0.651
O: 0.629 0.629 0.349
O: 0.698 0.058 0.661
O: 0.942 0.302 0.339

Total moment   0.278 μB per formula unit
SG   No. 12
Uncorrected energy   -55.6 eV for the cell shown



A relaxed V3H crystal. Source: Alexandria via LeMat-Bulk, functional PBE.

a = 2.452 Å, b = 7.791 Å, c = 4.524 Å
α = 90.00°, β = 90.00°, γ = 90.00°
Atoms (fractional coordinates):
V: 0.000 0.000 0.000
V: 0.000 0.175 0.508
V: 0.000 0.825 0.508
V: 0.500 0.325 0.008
V: 0.500 0.500 0.500
V: 0.500 0.675 0.008
H: 0.000 0.500 0.836
H: 0.500 0.000 0.336

Total moment   0.000 μB per formula unit
Polymorph energy (0 for the lowest one)   138 meV/atom
SG   No. 44
Uncorrected energy   -60.9 eV for the cell shown



A relaxed BaHgTe4 crystal. Source: Alexandria via LeMat-Bulk, functional PBE.

a = 6.584 Å, b = 6.584 Å, c = 6.584 Å
α = 60.00°, β = 60.00°, γ = 60.00°
Atoms (fractional coordinates):
Ba: 0.000 0.000 0.000
Hg: 0.750 0.750 0.750
Te: 0.375 0.375 0.375
Te: 0.375 0.375 0.874
Te: 0.375 0.874 0.375
Te: 0.874 0.375 0.375

Total moment   0.000 μB per formula unit
SG   No. 216
Uncorrected energy   -17.4 eV for the cell shown



A relaxed KReHg2 crystal. Source: Alexandria via LeMat-Bulk, functional PBE.

a = 2.881 Å, b = 4.714 Å, c = 8.039 Å
α = 90.00°, β = 90.00°, γ = 90.00°
Atoms (fractional coordinates):
K: 0.000 0.000 0.000
Re: 0.500 0.500 0.355
Hg: 0.000 0.000 0.407
Hg: 0.500 0.500 0.705

ΔE_f   0.7989 eV per atom
Total moment   0.980 μB per formula unit
Polymorph energy (0 for the lowest one)   88 meV/atom
SG   No. 25
Uncorrected energy   -11.0 eV for the cell shown



A relaxed CsRb2Te2Au crystal. Source: Alexandria via LeMat-Bulk, functional PBE.

a = 5.953 Å, b = 5.953 Å, c = 18.415 Å
α = 90.00°, β = 90.00°, γ = 90.00°
Atoms (fractional coordinates):
Cs: 0.000 0.000 0.000
Cs: 0.500 0.500 0.500
Rb: 0.000 0.500 0.250
Rb: 0.000 0.500 0.750
Rb: 0.500 0.000 0.250
Rb: 0.500 0.000 0.750
Te: 0.000 0.000 0.359
Te: 0.000 0.000 0.641
Te: 0.500 0.500 0.141
Te: 0.500 0.500 0.859
Au: 0.000 0.000 0.500
Au: 0.500 0.500 0.000

Total moment   0.000 μB per formula unit
SG   No. 139
Uncorrected energy   -34.3 eV for the cell shown



A relaxed CaCrTc crystal. Source: Alexandria via LeMat-Bulk, functional PBE.

a = 3.087 Å, b = 3.087 Å, c = 6.831 Å
α = 90.00°, β = 90.00°, γ = 120.00°
Atoms (fractional coordinates):
Ca: 0.000 0.000 0.000
Cr: 0.333 0.667 0.389
Tc: 0.667 0.333 0.614

ΔE_f   0.6970 eV per atom
Total moment   0.000 μB per formula unit
Polymorph energy (0 for the lowest one)   303 meV/atom
SG   No. 156
Uncorrected energy   -19.9 eV for the cell shown



A relaxed K6ThF12 crystal. Source: Alexandria via LeMat-Bulk, functional PBE.

a = 7.535 Å, b = 7.535 Å, c = 7.535 Å
α = 99.79°, β = 99.79°, γ = 99.79°
Atoms (fractional coordinates):
K: 0.115 0.790 0.657
K: 0.210 0.343 0.885
K: 0.343 0.885 0.210
K: 0.657 0.115 0.790
K: 0.790 0.657 0.115
K: 0.885 0.210 0.343
Th: 0.500 0.500 0.500
F: 0.047 0.928 0.355
F: 0.072 0.645 0.953
F: 0.206 0.438 0.529
F: 0.355 0.047 0.928
F: 0.438 0.529 0.206
F: 0.471 0.794 0.562
F: 0.529 0.206 0.438
F: 0.562 0.471 0.794
F: 0.645 0.953 0.072
F: 0.794 0.562 0.471
F: 0.928 0.355 0.047
F: 0.953 0.072 0.645

Total moment   2.000 μB per formula unit
SG   No. 148
Uncorrected energy   -90.4 eV for the cell shown